(1)
An optimized crystal structure of Er8As4Se3, computed with GGA-PBE.

Output
- DOS at the Fermi energy: 6.11 states/eV per cell
- Uncorrected formation energy: -1.511 eV per atom

a = 8.0671 Å, b = 8.0671 Å, c = 8.0566 Å
α = 119.85°, β = 119.85°, γ = 90.12°
Fractional coordinates of all 15 atoms:
Er1 0.2458 0.7542 0.0000
Er2 0.2468 0.2468 0.4947
Er3 0.2508 0.2508 0.0077
Er4 0.2519 0.7481 0.5000
Er5 0.7481 0.2519 0.5000
Er6 0.7492 0.7492 0.9923
Er7 0.7532 0.7532 0.5053
Er8 0.7542 0.2458 0.0000
As1 0.0000 0.0000 0.0000
As2 0.0000 0.5000 0.5000
As3 0.5000 0.0000 0.5000
As4 0.5000 0.5000 0.5000
Se1 0.0000 0.5000 0.0000
Se2 0.5000 0.0000 0.0000
Se3 0.5000 0.5000 0.0000


(2)
An optimized crystal structure of Er3As2Se, computed with GGA-PBE.

Output
- DOS at the Fermi energy: 1.58 states/eV per cell
- Uncorrected formation energy: -1.647 eV per atom

a = 7.0422 Å, b = 7.0422 Å, c = 7.0422 Å
α = 146.40°, β = 131.74°, γ = 60.09°
Fractional coordinates of all 6 atoms:
Er1 0.0000 0.0000 0.0000
Er2 0.3271 0.3271 0.0000
Er3 0.6729 0.6729 0.0000
As1 0.1650 0.6650 0.5000
As2 0.8350 0.3350 0.5000
Se1 0.5000 0.0000 0.5000


(3)
An optimized crystal structure of ErAsSe3, computed with GGA-PBE.

Output
- Uncorrected formation energy: -0.897 eV per atom

a = 7.7265 Å, b = 7.7265 Å, c = 7.7265 Å
α = 54.01°, β = 54.01°, γ = 54.01°
Fractional coordinates of all 10 atoms:
Er1 0.1442 0.1442 0.1442
Er2 0.8558 0.8558 0.8558
As1 0.3132 0.3132 0.3132
As2 0.6868 0.6868 0.6868
Se1 0.0707 0.7243 0.4699
Se2 0.2757 0.5301 0.9293
Se3 0.4699 0.0707 0.7243
Se4 0.5301 0.9293 0.2757
Se5 0.7243 0.4699 0.0707
Se6 0.9293 0.2757 0.5301


(4)
An optimized crystal structure of Er5AsSe5, computed with GGA-PBE.

Output
- DOS at the Fermi energy: 3.36 states/eV per cell
- Uncorrected formation energy: -1.801 eV per atom

a = 6.9915 Å, b = 6.9915 Å, c = 8.0631 Å
α = 106.79°, β = 106.79°, γ = 48.29°
Fractional coordinates of all 11 atoms:
Er1 0.0000 0.0000 0.0000
Er2 0.3372 0.3372 0.6680
Er3 0.3391 0.3391 0.1705
Er4 0.6609 0.6609 0.8295
Er5 0.6628 0.6628 0.3320
As1 0.5000 0.5000 0.0000
Se1 0.1673 0.1673 0.3348
Se2 0.1684 0.1684 0.8338
Se3 0.5000 0.5000 0.5000
Se4 0.8316 0.8316 0.1662
Se5 0.8327 0.8327 0.6652


(5)
An optimized crystal structure of Er5AsSe4, computed with GGA-PBE.

Output
- DOS at the Fermi energy: 4.04 states/eV per cell
- Uncorrected formation energy: -1.690 eV per atom

a = 10.7056 Å, b = 10.7056 Å, c = 10.7056 Å
α = 158.16°, β = 149.10°, γ = 38.16°
Fractional coordinates of all 10 atoms:
Er1 0.0000 0.0000 0.0000
Er2 0.2007 0.2007 0.0000
Er3 0.4034 0.4034 0.0000
Er4 0.5966 0.5966 0.0000
Er5 0.7993 0.7993 0.0000
As1 0.5000 0.0000 0.5000
Se1 0.1009 0.6009 0.5000
Se2 0.3006 0.8006 0.5000
Se3 0.6994 0.1994 0.5000
Se4 0.8991 0.3991 0.5000


(6)
An optimized crystal structure of Er8AsSe6, computed with GGA-PBE.

Output
- DOS at the Fermi energy: 10.11 states/eV per cell
- Uncorrected formation energy: -1.272 eV per atom

a = 10.2713 Å, b = 10.2713 Å, c = 4.0397 Å
α = 90.00°, β = 90.00°, γ = 120.00°
Fractional coordinates of all 15 atoms:
Er1 0.0306 0.7251 0.2590
Er2 0.2749 0.3055 0.2590
Er3 0.3055 0.0306 0.7410
Er4 0.3333 0.6667 0.7465
Er5 0.6667 0.3333 0.2535
Er6 0.6945 0.9694 0.2590
Er7 0.7251 0.6945 0.7410
Er8 0.9694 0.2749 0.7410
As1 0.0000 0.0000 0.5000
Se1 0.1289 0.4791 0.2471
Se2 0.3502 0.8711 0.2471
Se3 0.4791 0.3502 0.7529
Se4 0.5209 0.6498 0.2471
Se5 0.6498 0.1289 0.7529
Se6 0.8711 0.5209 0.7529


(7)
An optimized crystal structure of Er6As5Se, computed with GGA-PBE.

Output
- DOS at the Fermi energy: 2.48 states/eV per cell
- Uncorrected formation energy: -1.600 eV per atom

a = 7.0571 Å, b = 7.0571 Å, c = 7.0623 Å
α = 99.59°, β = 99.59°, γ = 119.97°
Fractional coordinates of all 12 atoms:
Er1 0.0762 0.4154 0.7465
Er2 0.2452 0.2452 0.2534
Er3 0.4154 0.0762 0.7465
Er4 0.5846 0.9238 0.2535
Er5 0.7548 0.7548 0.7466
Er6 0.9238 0.5846 0.2535
As1 0.0000 0.0000 0.5000
As2 0.1670 0.8330 0.0000
As3 0.3352 0.6648 0.5000
As4 0.6648 0.3352 0.5000
As5 0.8330 0.1670 0.0000
Se1 0.5000 0.5000 0.0000


(8)
An optimized crystal structure of Er6SiAs2Se3, computed with GGA-PBE.

Output
- DOS at the Fermi energy: 3.36 states/eV per cell
- Uncorrected formation energy: -1.562 eV per atom

a = 9.1218 Å, b = 9.1218 Å, c = 8.1517 Å
α = 103.10°, β = 103.10°, γ = 25.77°
Fractional coordinates of all 12 atoms:
Er1 0.0018 0.0018 0.2379
Er2 0.3311 0.3311 0.4236
Er3 0.3391 0.3391 0.9131
Er4 0.6609 0.6609 0.0869
Er5 0.6689 0.6689 0.5764
Er6 0.9982 0.9982 0.7621
Si1 0.5000 0.5000 0.0000
As1 0.1671 0.1671 0.3342
As2 0.8329 0.8329 0.6658
Se1 0.1684 0.1684 0.8326
Se2 0.5000 0.5000 0.5000
Se3 0.8316 0.8316 0.1674


(9)
An optimized crystal structure of Er6Si2AsSe3, computed with GGA-PBE.

Output
- DOS at the Fermi energy: 2.16 states/eV per cell
- Uncorrected formation energy: -1.434 eV per atom

a = 9.1278 Å, b = 9.1278 Å, c = 8.1826 Å
α = 103.12°, β = 103.12°, γ = 25.78°
Fractional coordinates of all 12 atoms:
Er1 0.0053 0.0053 0.2456
Er2 0.3300 0.3300 0.4253
Er3 0.3349 0.3349 0.9047
Er4 0.6651 0.6651 0.0953
Er5 0.6700 0.6700 0.5747
Er6 0.9947 0.9947 0.7544
Si1 0.1667 0.1667 0.3331
Si2 0.8333 0.8333 0.6669
As1 0.5000 0.5000 0.0000
Se1 0.1650 0.1650 0.8342
Se2 0.5000 0.5000 0.5000
Se3 0.8350 0.8350 0.1658


(10)
An optimized crystal structure of SmErAsSe, computed with GGA-PBE.

Output
- DOS at the Fermi energy: 2.92 states/eV per cell
- Uncorrected formation energy: -1.642 eV per atom

a = 7.4875 Å, b = 7.4875 Å, c = 7.4875 Å
α = 31.43°, β = 31.43°, γ = 31.43°
Fractional coordinates of all 4 atoms:
Sm1 0.0000 0.0000 0.0000
Er1 0.1796 0.1796 0.1796
As1 0.5852 0.5852 0.5852
Se1 0.7606 0.7606 0.7606


(11)
An optimized crystal structure of Er6SnAs2Se3, computed with GGA-PBE.

Output
- DOS at the Fermi energy: 4.13 states/eV per cell
- Uncorrected formation energy: -1.502 eV per atom

a = 9.2064 Å, b = 9.2064 Å, c = 8.2511 Å
α = 102.71°, β = 102.71°, γ = 25.83°
Fractional coordinates of all 12 atoms:
Er1 0.0032 0.0032 0.2572
Er2 0.3293 0.3293 0.4233
Er3 0.3310 0.3310 0.9056
Er4 0.6690 0.6690 0.0944
Er5 0.6707 0.6707 0.5767
Er6 0.9968 0.9968 0.7428
Sn1 0.5000 0.5000 0.0000
As1 0.1675 0.1675 0.3355
As2 0.8325 0.8325 0.6645
Se1 0.1663 0.1663 0.8318
Se2 0.5000 0.5000 0.5000
Se3 0.8337 0.8337 0.1682


(12)
An optimized crystal structure of Er6TeAs2Se3, computed with GGA-PBE.

Output
- DOS at the Fermi energy: 3.89 states/eV per cell
- Uncorrected formation energy: -1.599 eV per atom

a = 9.1725 Å, b = 9.1725 Å, c = 8.2222 Å
α = 102.41°, β = 102.41°, γ = 25.82°
Fractional coordinates of all 12 atoms:
Er1 0.0069 0.0069 0.2743
Er2 0.3242 0.3242 0.8970
Er3 0.3295 0.3295 0.4231
Er4 0.6705 0.6705 0.5769
Er5 0.6758 0.6758 0.1030
Er6 0.9931 0.9931 0.7257
Te1 0.5000 0.5000 0.0000
As1 0.1676 0.1676 0.3347
As2 0.8324 0.8324 0.6653
Se1 0.1615 0.1615 0.8348
Se2 0.5000 0.5000 0.5000
Se3 0.8385 0.8385 0.1652


(13)
An optimized crystal structure of Er8Te4AsSe3, computed with GGA-PBE.

Output
- DOS at the Fermi energy: 5.20 states/eV per cell
- Uncorrected formation energy: -1.475 eV per atom

a = 8.4436 Å, b = 8.4436 Å, c = 8.4436 Å
α = 59.05°, β = 59.05°, γ = 59.05°
Fractional coordinates of all 16 atoms:
Er1 0.2379 0.2379 0.2379
Er2 0.2426 0.7354 0.7354
Er3 0.2646 0.2646 0.7574
Er4 0.2646 0.7574 0.2646
Er5 0.7354 0.2426 0.7354
Er6 0.7354 0.7354 0.2426
Er7 0.7574 0.2646 0.2646
Er8 0.7621 0.7621 0.7621
Te1 0.0000 0.0000 0.0000
Te2 0.0000 0.5000 0.5000
Te3 0.5000 0.0000 0.5000
Te4 0.5000 0.5000 0.0000
As1 0.5000 0.5000 0.5000
Se1 0.0000 0.0000 0.5000
Se2 0.0000 0.5000 0.0000
Se3 0.5000 0.0000 0.0000


(14)
An optimized crystal structure of Er3TeAsSe, computed with GGA-PBE.

Output
- DOS at the Fermi energy: 9.15 states/eV per cell
- Uncorrected formation energy: -1.271 eV per atom

a = 8.0339 Å, b = 8.0339 Å, c = 6.8640 Å
α = 97.70°, β = 97.70°, γ = 128.92°
Fractional coordinates of all 12 atoms:
Er1 0.1686 0.3144 0.9980
Er2 0.2494 0.7506 0.7500
Er3 0.3144 0.1686 0.4980
Er4 0.6856 0.8314 0.5020
Er5 0.7506 0.2494 0.2500
Er6 0.8314 0.6856 0.0020
Te1 0.2513 0.7487 0.2500
Te2 0.7487 0.2513 0.7500
As1 0.0625 0.9375 0.7500
As2 0.9375 0.0625 0.2500
Se1 0.4408 0.5592 0.7500
Se2 0.5592 0.4408 0.2500


(15)
An optimized crystal structure of Er4TeAs2Se, computed with GGA-PBE.

Output
- DOS at the Fermi energy: 3.21 states/eV per cell
- Uncorrected formation energy: -1.548 eV per atom

a = 7.1323 Å, b = 4.1168 Å, c = 7.2375 Å
α = 90.00°, β = 109.21°, γ = 90.00°
Fractional coordinates of all 8 atoms:
Er1 0.2337 0.0000 0.2230
Er2 0.2498 0.5000 0.7709
Er3 0.7502 0.5000 0.2291
Er4 0.7663 0.0000 0.7770
Te1 0.5000 0.5000 0.5000
As1 0.0000 0.5000 0.0000
As2 0.5000 0.0000 0.0000
Se1 0.0000 0.0000 0.5000


(16)
An optimized crystal structure of Er8Te3AsSe3, computed with GGA-PBE.

Output
- DOS at the Fermi energy: 7.82 states/eV per cell
- Uncorrected formation energy: -1.349 eV per atom

a = 8.3707 Å, b = 8.3707 Å, c = 8.3707 Å
α = 58.81°, β = 58.81°, γ = 58.81°
Fractional coordinates of all 15 atoms:
Er1 0.2377 0.2377 0.2377
Er2 0.2407 0.7407 0.7407
Er3 0.2593 0.2593 0.7593
Er4 0.2593 0.7593 0.2593
Er5 0.7407 0.2407 0.7407
Er6 0.7407 0.7407 0.2407
Er7 0.7593 0.2593 0.2593
Er8 0.7623 0.7623 0.7623
Te1 0.0000 0.5000 0.5000
Te2 0.5000 0.0000 0.5000
Te3 0.5000 0.5000 0.0000
As1 0.5000 0.5000 0.5000
Se1 0.0000 0.0000 0.5000
Se2 0.0000 0.5000 0.0000
Se3 0.5000 0.0000 0.0000


(17)
An optimized crystal structure of ErTl2AsSe4, computed with GGA-PBE.

Output
- DOS at the Fermi energy: 0.69 states/eV per cell
- Uncorrected formation energy: -0.742 eV per atom

a = 8.5514 Å, b = 8.5514 Å, c = 8.5514 Å
α = 120.52°, β = 119.63°, γ = 89.87°
Fractional coordinates of all 16 atoms:
Er1 0.5000 0.0000 0.0000
Er2 0.5000 0.5000 0.5000
Tl1 0.0000 0.0000 0.0000
Tl2 0.0000 0.0000 0.5000
Tl3 0.0000 0.5000 0.0000
Tl4 0.5000 0.0000 0.5000
As1 0.0000 0.5000 0.5000
As2 0.5000 0.5000 0.0000
Se1 0.2580 0.7306 0.5274
Se2 0.2627 0.2977 0.5350
Se3 0.2627 0.7277 0.9650
Se4 0.2967 0.2694 0.0274
Se5 0.7033 0.7306 0.9726
Se6 0.7373 0.2723 0.0350
Se7 0.7373 0.7023 0.4650
Se8 0.7420 0.2694 0.4726


(18)
An optimized crystal structure of Er4Tl2AsSe, computed with GGA-PBE.

Output
- DOS at the Fermi energy: 3.51 states/eV per cell
- Uncorrected formation energy: -0.960 eV per atom

a = 6.8346 Å, b = 3.9318 Å, c = 8.1856 Å
α = 90.00°, β = 106.09°, γ = 90.00°
Fractional coordinates of all 8 atoms:
Er1 0.2338 0.0000 0.2141
Er2 0.2555 0.5000 0.7822
Er3 0.7445 0.5000 0.2178
Er4 0.7662 0.0000 0.7859
Tl1 0.0000 0.0000 0.5000
Tl2 0.5000 0.5000 0.5000
As1 0.0000 0.5000 0.0000
Se1 0.5000 0.0000 0.0000


(19)
An optimized crystal structure of Er8Tl4AsSe3, computed with GGA-PBE.

Output
- DOS at the Fermi energy: 8.36 states/eV per cell
- Uncorrected formation energy: -0.990 eV per atom

a = 7.8523 Å, b = 7.8523 Å, c = 9.1006 Å
α = 115.68°, β = 115.68°, γ = 59.84°
Fractional coordinates of all 16 atoms:
Er1 0.2365 0.2365 0.7161
Er2 0.2366 0.7431 0.7160
Er3 0.2569 0.7634 0.2840
Er4 0.2599 0.2599 0.2800
Er5 0.7401 0.7401 0.7200
Er6 0.7431 0.2366 0.7160
Er7 0.7634 0.2569 0.2840
Er8 0.7635 0.7635 0.2839
Tl1 0.0000 0.0000 0.0000
Tl2 0.0000 0.5000 0.0000
Tl3 0.5000 0.0000 0.0000
Tl4 0.5000 0.5000 0.0000
As1 0.0000 0.0000 0.5000
Se1 0.0000 0.5000 0.5000
Se2 0.5000 0.0000 0.5000
Se3 0.5000 0.5000 0.5000


(20)
An optimized crystal structure of YErAsSe, computed with GGA-PBE.

Output
- DOS at the Fermi energy: 2.62 states/eV per cell
- Uncorrected formation energy: -1.622 eV per atom

a = 7.4246 Å, b = 7.4246 Å, c = 7.4246 Å
α = 31.34°, β = 31.34°, γ = 31.34°
Fractional coordinates of all 4 atoms:
Y1 0.0000 0.0000 0.0000
Er1 0.1804 0.1804 0.1804
As1 0.5908 0.5908 0.5908
Se1 0.4233 0.4233 0.4233